{"formula": "ReNiOs", "functional": "GGA-PBE", "state": "optimized geometry", "lattice_angstrom": [[-1.2646, 1.0011, 5.6055], [-4.4495, -0.1209, 3.7697], [3.2612, -2.2717, -4.2693]], "species": ["Ni", "Os", "Re"], "fractional_positions": [[0.0011, 0.0011, 0.0000], [0.3346, 0.3346, 0.0000], [0.6642, 0.6642, 0.0000]], "magnetic_moment_mub_per_cell": 0.00, "final_energy_ha_per_atom": -0.3556, "de_polymorph_mev_per_atom": 135, "mass_density_g_cm3": 17.76, "sg": "I4mm (107)", "ef_kj_per_mol_fu": 41.6}

{"formula": "Tl3Re", "functional": "GGA-PBE", "state": "optimized geometry", "lattice_angstrom": [[-2.5028, 0.9803, -1.4122], [-3.0732, -2.0461, 4.0261], [0.3542, 4.8281, 2.7241]], "species": ["Re", "Tl", "Tl", "Tl"], "fractional_positions": [[0.0000, 0.0000, 0.0261], [0.5000, 0.0000, 0.5186], [0.5000, 0.5000, 0.8210], [0.0000, 0.5000, 0.3009]], "magnetic_moment_mub_per_cell": 0.00, "final_energy_ha_per_atom": -0.1426, "de_polymorph_mev_per_atom": 473, "mass_density_g_cm3": 14.41, "sg": "Pmm2 (25)", "ef_kj_per_mol_fu": 388.2}

{"formula": "BaPdSeBr2", "functional": "GGA-PBE", "state": "optimized geometry", "lattice_angstrom": [[5.1810, 0.0000, 0.0000], [0.0000, 5.1810, 0.0000], [0.0000, 0.0000, 5.2387]], "species": ["Br", "Br", "Se", "Ba", "Pd"], "fractional_positions": [[0.0000, 0.5000, 0.0000], [0.5000, 0.0000, 0.0000], [0.0000, 0.0000, 0.5000], [0.5000, 0.5000, 0.5000], [0.0000, 0.0000, 0.0000]], "magnetic_moment_mub_per_cell": 0.00, "final_energy_ha_per_atom": -0.1426, "de_polymorph_mev_per_atom": 0, "mass_density_g_cm3": 5.70, "sg": "P4/mmm (123)"}

{"formula": "KVCd2", "functional": "GGA-PBE", "state": "optimized geometry", "lattice_angstrom": [[0.0000, 3.7425, 3.7425], [3.7425, 0.0000, 3.7425], [3.7425, 3.7425, 0.0000]], "species": ["K", "Cd", "Cd", "V"], "fractional_positions": [[0.0000, 0.0000, 0.0000], [0.2500, 0.2500, 0.2500], [0.7500, 0.7500, 0.7500], [0.5000, 0.5000, 0.5000]], "magnetic_moment_mub_per_cell": 4.03, "final_energy_ha_per_atom": -0.0891, "de_polymorph_mev_per_atom": 0, "mass_density_g_cm3": 4.99, "sg": "Fm-3m (225)", "ef_kj_per_mol_fu": 226.1}

{"formula": "NaDySe2", "functional": "GGA-PBE", "state": "optimized geometry", "lattice_angstrom": [[4.1313, 0.0000, 0.0000], [-2.0656, 3.5778, 0.0000], [0.0000, 0.0000, 14.3211]], "species": ["Na", "Na", "Dy", "Dy", "Se", "Se", "Se", "Se"], "fractional_positions": [[0.6667, 0.3333, 0.2500], [0.3333, 0.6667, 0.7500], [0.0000, 0.0000, 0.5000], [0.0000, 0.0000, 0.0000], [0.3333, 0.6667, 0.3874], [0.6667, 0.3333, 0.8874], [0.6667, 0.3333, 0.6126], [0.3333, 0.6667, 0.1126]], "magnetic_moment_mub_per_cell": 0.00, "final_energy_ha_per_atom": -0.1805, "de_polymorph_mev_per_atom": 19, "mass_density_g_cm3": 5.39, "sg": "P6_3/mmc (194)"}

{"formula": "ZnPBr2", "functional": "GGA-PBE", "state": "optimized geometry", "lattice_angstrom": [[0.0000, 3.5072, 3.5072], [3.5072, 0.0000, 3.5072], [3.5072, 3.5072, 0.0000]], "species": ["Zn", "P", "Br", "Br"], "fractional_positions": [[0.2500, 0.2500, 0.2500], [0.5000, 0.5000, 0.5000], [0.0000, 0.0000, 0.0000], [0.7500, 0.7500, 0.7500]], "magnetic_moment_mub_per_cell": 0.00, "final_energy_ha_per_atom": -0.0664, "de_polymorph_mev_per_atom": 968, "mass_density_g_cm3": 4.93, "sg": "F-43m (216)"}

{"formula": "TlTePb2", "functional": "GGA-PBE", "state": "optimized geometry", "lattice_angstrom": [[-5.8076, -2.6825, -0.2408], [-3.8201, -3.3764, -3.8716], [0.2342, -5.3385, 1.1484]], "species": ["Pb", "Pb", "Te", "Tl"], "fractional_positions": [[0.0017, 0.0017, 0.0423], [0.7565, 0.7565, 0.6779], [0.4969, 0.4969, 0.5804], [0.2449, 0.2449, 0.1994]], "magnetic_moment_mub_per_cell": 0.00, "final_energy_ha_per_atom": -0.1221, "de_polymorph_mev_per_atom": 7, "mass_density_g_cm3": 9.67, "sg": "Cm (8)"}

{"formula": "K4CaTh3S8", "functional": "GGA-PBE", "state": "optimized geometry", "lattice_angstrom": [[8.3000, 0.0000, 0.0000], [0.0000, 8.8169, 0.3577], [-4.1500, -4.1434, 5.8718]], "species": ["K", "K", "K", "K", "Ca", "Th", "Th", "Th", "S", "S", "S", "S", "S", "S", "S", "S"], "fractional_positions": [[0.5000, 0.0000, 0.0000], [0.5000, 0.0000, 0.5000], [0.0000, 0.0000, 0.0000], [0.0000, 0.0000, 0.5000], [0.0000, 0.5000, 0.0000], [0.5000, 0.5000, 0.0000], [0.5000, 0.5000, 0.5000], [0.0000, 0.5000, 0.5000], [0.2391, 0.7086, 0.9696], [0.2390, 0.7085, 0.4780], [0.2630, 0.2892, 0.5261], [0.7305, 0.7086, 0.9696], [0.2695, 0.2914, 0.0304], [0.7370, 0.7108, 0.4739], [0.7610, 0.2915, 0.5220], [0.7609, 0.2914, 0.0304]], "magnetic_moment_mub_per_cell": 0.00, "final_energy_ha_per_atom": -0.2055, "mass_density_g_cm3": 4.32, "sg": "R-3m (166)"}